1.
# CaTm2Zn4 PBE relaxed
# V: 24.537 A^3/atom
# raw total energy: -16.8 eV/cell
# theoretical density: 6.183 g cm⁻³
# energy of formation: -11.1 kJ/mol of atoms
data_CaTm2Zn4
_chemical_formula_sum 'Ca1 Tm2 Zn4'
_cell_length_a 6.071
_cell_length_b 6.071
_cell_length_c 6.071
_cell_angle_alpha 113.03
_cell_angle_beta 107.72
_cell_angle_gamma 107.72
_space_group_name_H-M_alt 'P 1'
_space_group_IT_number 1
loop_
_space_group_symop_operation_xyz
'x,y,z'
loop_
_atom_site_label
_atom_site_type_symbol
_atom_site_fract_x
_atom_site_fract_y
_atom_site_fract_z
_atom_site_occupancy
Zn1 Zn 0.000 0.000 0.500 1
Zn2 Zn 0.500 0.000 0.000 1
Zn3 Zn 0.500 0.500 0.500 1
Zn4 Zn 0.000 0.500 0.000 1
Ca1 Ca 0.000 0.000 0.000 1
Tm1 Tm 0.500 0.500 0.000 1
Tm2 Tm 0.500 0.000 0.500 1

***

2.
# CaTm3Zn2 PBE relaxed
# V: 25.682 A^3/atom
# raw total energy: -38.2 eV/cell
# theoretical density: 7.303 g cm⁻³
# energy of formation: -18.0 kJ/mol of atoms
data_CaTm3Zn2
_chemical_formula_sum 'Ca2 Tm6 Zn4'
_cell_length_a 4.959
_cell_length_b 6.878
_cell_length_c 9.035
_cell_angle_alpha 90.00
_cell_angle_beta 90.00
_cell_angle_gamma 90.00
_space_group_name_H-M_alt 'P 1'
_space_group_IT_number 1
loop_
_space_group_symop_operation_xyz
'x,y,z'
loop_
_atom_site_label
_atom_site_type_symbol
_atom_site_fract_x
_atom_site_fract_y
_atom_site_fract_z
_atom_site_occupancy
Tm1 Tm 0.000 0.342 0.320 1
Tm2 Tm 0.500 0.657 0.173 1
Tm3 Tm 0.500 0.157 0.827 1
Tm4 Tm 0.000 0.980 0.058 1
Tm5 Tm 0.000 0.480 0.942 1
Tm6 Tm 0.000 0.842 0.680 1
Ca1 Ca 0.500 0.520 0.560 1
Ca2 Ca 0.500 0.020 0.440 1
Zn1 Zn 0.500 0.736 0.858 1
Zn2 Zn 0.000 0.264 0.653 1
Zn3 Zn 0.000 0.764 0.347 1
Zn4 Zn 0.500 0.236 0.142 1

***

3.
# CaTm2Zn6 PBE relaxed
# V: 20.105 A^3/atom
# raw total energy: -21.6 eV/cell
# theoretical density: 7.070 g cm⁻³
# energy of formation: -32.3 kJ/mol of atoms
data_CaTm2Zn6
_chemical_formula_sum 'Ca1 Tm2 Zn6'
_cell_length_a 3.476
_cell_length_b 7.752
_cell_length_c 7.753
_cell_angle_alpha 119.99
_cell_angle_beta 90.00
_cell_angle_gamma 90.00
_space_group_name_H-M_alt 'P 1'
_space_group_IT_number 1
loop_
_space_group_symop_operation_xyz
'x,y,z'
loop_
_atom_site_label
_atom_site_type_symbol
_atom_site_fract_x
_atom_site_fract_y
_atom_site_fract_z
_atom_site_occupancy
Tm1 Tm 0.000 0.333 0.666 1
Tm2 Tm 0.000 0.667 0.334 1
Zn1 Zn 0.500 0.664 0.664 1
Zn2 Zn 0.500 0.000 0.664 1
Zn3 Zn 0.500 0.664 0.000 1
Zn4 Zn 0.500 0.000 0.336 1
Zn5 Zn 0.500 0.336 0.336 1
Zn6 Zn 0.500 0.336 0.000 1
Ca1 Ca 0.000 0.000 0.000 1

***

4.
# CaTmZn4 PBE relaxed
# V: 20.841 A^3/atom
# raw total energy: -13.6 eV/cell
# theoretical density: 6.250 g cm⁻³
# energy of formation: -32.6 kJ/mol of atoms
data_CaTmZn4
_chemical_formula_sum 'Ca1 Tm1 Zn4'
_cell_length_a 4.506
_cell_length_b 4.506
_cell_length_c 7.110
_cell_angle_alpha 90.00
_cell_angle_beta 90.00
_cell_angle_gamma 120.00
_space_group_name_H-M_alt 'P 1'
_space_group_IT_number 1
loop_
_space_group_symop_operation_xyz
'x,y,z'
loop_
_atom_site_label
_atom_site_type_symbol
_atom_site_fract_x
_atom_site_fract_y
_atom_site_fract_z
_atom_site_occupancy
Zn1 Zn 0.333 0.667 0.212 1
Zn2 Zn 0.333 0.667 0.788 1
Zn3 Zn 0.667 0.333 0.212 1
Zn4 Zn 0.667 0.333 0.788 1
Ca1 Ca 0.000 0.000 0.500 1
Tm1 Tm 0.000 0.000 0.000 1

***

5.
# CaTmZn10 PBE relaxed
# V: 17.300 A^3/atom
# raw total energy: -22.0 eV/cell
# theoretical density: 6.904 g cm⁻³
# energy of formation: -22.8 kJ/mol of atoms
data_CaTmZn10
_chemical_formula_sum 'Ca1 Tm1 Zn10'
_cell_length_a 4.239
_cell_length_b 5.324
_cell_length_c 9.198
_cell_angle_alpha 90.00
_cell_angle_beta 90.00
_cell_angle_gamma 90.00
_space_group_name_H-M_alt 'P 1'
_space_group_IT_number 1
loop_
_space_group_symop_operation_xyz
'x,y,z'
loop_
_atom_site_label
_atom_site_type_symbol
_atom_site_fract_x
_atom_site_fract_y
_atom_site_fract_z
_atom_site_occupancy
Zn1 Zn 0.000 0.500 0.835 1
Zn2 Zn 0.500 0.245 0.242 1
Zn3 Zn 0.500 0.755 0.242 1
Zn4 Zn 0.500 0.245 0.758 1
Zn5 Zn 0.500 0.755 0.758 1
Zn6 Zn 0.000 0.500 0.165 1
Zn7 Zn 0.500 0.000 0.500 1
Zn8 Zn 0.000 0.000 0.668 1
Zn9 Zn 0.500 0.500 0.000 1
Zn10 Zn 0.000 0.000 0.332 1
Tm1 Tm 0.000 0.000 0.000 1
Ca1 Ca 0.000 0.500 0.500 1

***

6.
# CaTm2Zn3 PBE relaxed
# V: 22.732 A^3/atom
# raw total energy: -16.7 eV/cell
# theoretical density: 6.990 g cm⁻³
# energy of formation: -30.9 kJ/mol of atoms
data_CaTm2Zn3
_chemical_formula_sum 'Ca1 Tm2 Zn3'
_cell_length_a 3.549
_cell_length_b 3.549
_cell_length_c 10.829
_cell_angle_alpha 90.00
_cell_angle_beta 90.00
_cell_angle_gamma 90.00
_space_group_name_H-M_alt 'P 1'
_space_group_IT_number 1
loop_
_space_group_symop_operation_xyz
'x,y,z'
loop_
_atom_site_label
_atom_site_type_symbol
_atom_site_fract_x
_atom_site_fract_y
_atom_site_fract_z
_atom_site_occupancy
Ca1 Ca 0.500 0.500 0.500 1
Zn1 Zn 0.000 0.000 0.683 1
Zn2 Zn 0.000 0.000 0.000 1
Zn3 Zn 0.000 0.000 0.317 1
Tm1 Tm 0.500 0.500 0.161 1
Tm2 Tm 0.500 0.500 0.839 1